# 1
VASP calculation (PBE-GGA) on a relaxed Ba6Au3O crystal.

Calculated values
Formation energy from raw total energies, eV per atom: -0.935

Structure (CIF):
```
data_Ba6Au3O
_space_group_name_H-M_alt 'C m c 21'
_space_group_IT_number 36
_space_group_name_Hall 'C 2c -2'
_cell_length_a 12.953
_cell_length_b 16.249
_cell_length_c 7.787
_cell_angle_alpha 90.00
_cell_angle_beta 90.00
_cell_angle_gamma 90.00
loop_
_atom_site_label
_atom_site_fract_x
_atom_site_fract_y
_atom_site_fract_z
Ba1 0.000 0.053 0.000
Ba2 0.000 0.218 0.570
Ba3 0.154 0.268 0.048
Ba4 0.165 0.474 0.563
Au1 0.000 0.395 0.278
Au2 0.171 0.103 0.343
O1 0.000 0.201 0.899
```

***

# 2
VASP calculation (PBE-GGA) on a relaxed Ac2Pa3S8 crystal.

Calculated values
Polymorph energy (0 for the lowest one), meV/atom: 42
Formation energy from raw total energies, eV per atom: -1.748

Structure (CIF):
```
data_Ac2Pa3S8
_space_group_name_H-M_alt 'C 1 2/m 1'
_space_group_IT_number 12
_space_group_name_Hall '-C 2y'
_cell_length_a 14.733
_cell_length_b 8.141
_cell_length_c 6.725
_cell_angle_alpha 90.00
_cell_angle_beta 108.70
_cell_angle_gamma 90.00
loop_
_atom_site_label
_atom_site_fract_x
_atom_site_fract_y
_atom_site_fract_z
Ac1 0.232 0.000 0.166
Pa1 0.000 0.253 0.500
Pa2 0.000 0.500 0.000
S1 0.109 0.000 0.437
S2 0.114 0.500 0.416
S3 0.120 0.273 0.910
```

***

# 3
VASP calculation (PBE-GGA) on a relaxed ZnHgOs2 crystal.

Calculated values
Polymorph energy (0 for the lowest one), meV/atom: 390
Calculated formation energy, meV per atom: 669

Structure (CIF):
```
data_ZnHgOs2
_space_group_name_H-M_alt 'P 1 2/m 1'
_space_group_IT_number 10
_space_group_name_Hall '-P 2y'
_cell_length_a 2.813
_cell_length_b 4.680
_cell_length_c 4.898
_cell_angle_alpha 90.00
_cell_angle_beta 91.17
_cell_angle_gamma 90.00
loop_
_atom_site_label
_atom_site_fract_x
_atom_site_fract_y
_atom_site_fract_z
Zn1 0.000 0.000 0.000
Hg1 0.500 0.000 0.500
Os1 0.249 0.500 0.776
```

***

# 4
VASP calculation (PBE-GGA) on a relaxed K2BaPt9 crystal.

Calculated values
Calculated formation energy, meV per atom: -313

Structure (CIF):
```
data_K2BaPt9
_space_group_name_H-M_alt 'R -3 m'
_space_group_IT_number 166
_space_group_name_Hall '-R 3 2"'
_cell_length_a 5.5964
_cell_length_b 5.5964
_cell_length_c 26.6186
_cell_angle_alpha 90.00
_cell_angle_beta 90.00
_cell_angle_gamma 120.00
loop_
_atom_site_label
_atom_site_fract_x
_atom_site_fract_y
_atom_site_fract_z
K1 0.0000 0.0000 0.1437
Ba1 0.0000 0.0000 0.0000
Pt1 0.0000 0.0000 0.3317
Pt2 0.0000 0.0000 0.5000
Pt3 0.0013 0.5006 0.0816
```

***

# 5
VASP calculation (PBE-GGA) on a relaxed CsYNi2Sb crystal.

Calculated values
Formation energy from raw total energies, eV per atom: 1.378

Structure (CIF):
```
data_CsYNi2Sb
_space_group_name_H-M_alt 'P 4/m m m'
_space_group_IT_number 123
_space_group_name_Hall '-P 4 2'
_cell_length_a 4.739
_cell_length_b 4.739
_cell_length_c 5.953
_cell_angle_alpha 90.00
_cell_angle_beta 90.00
_cell_angle_gamma 90.00
loop_
_atom_site_label
_atom_site_fract_x
_atom_site_fract_y
_atom_site_fract_z
Cs1 0.000 0.000 0.000
Y1 0.000 0.000 0.500
Ni1 0.000 0.500 0.000
Sb1 0.500 0.500 0.500
```

***

# 6
VASP calculation (PBE-GGA) on a relaxed Li2SCl crystal.

Calculated values
Polymorph energy (0 for the lowest one), meV/atom: 184
Formation energy from raw total energies, eV per atom: -0.873

Structure (CIF):
```
data_Li2SCl
_space_group_name_H-M_alt 'F m -3 m'
_space_group_IT_number 225
_space_group_name_Hall '-F 4 2 3'
_cell_length_a 6.419
_cell_length_b 6.419
_cell_length_c 6.419
_cell_angle_alpha 90.00
_cell_angle_beta 90.00
_cell_angle_gamma 90.00
loop_
_atom_site_label
_atom_site_fract_x
_atom_site_fract_y
_atom_site_fract_z
Li1 0.250 0.250 0.250
S1 0.000 0.000 0.000
Cl1 0.000 0.000 0.500
```

***

# 7
VASP calculation (PBE-GGA) on a relaxed Cs2Cu2Te3 crystal.

Calculated values
Formation energy from raw total energies, eV per atom: -0.501

Structure (CIF):
```
data_Cs2Cu2Te3
_space_group_name_H-M_alt 'P -1'
_space_group_IT_number 2
_space_group_name_Hall '-P 1'
_cell_length_a 4.645
_cell_length_b 6.753
_cell_length_c 7.939
_cell_angle_alpha 82.08
_cell_angle_beta 77.75
_cell_angle_gamma 82.02
loop_
_atom_site_label
_atom_site_fract_x
_atom_site_fract_y
_atom_site_fract_z
Cs1 0.043 0.229 0.149
Cu1 0.210 0.379 0.544
Te1 0.346 0.676 0.287
Te2 0.500 0.000 0.500
```

***

# 8
VASP calculation (PBE-GGA) on a relaxed CeErHg crystal.

Calculated values
Polymorph energy (0 for the lowest one), meV/atom: 0
Calculated formation energy, meV per atom: -208

Structure (CIF):
```
data_CeErHg
_space_group_name_H-M_alt 'I 4 m m'
_space_group_IT_number 107
_space_group_name_Hall 'I 4 -2'
_cell_length_a 3.551
_cell_length_b 3.551
_cell_length_c 13.351
_cell_angle_alpha 90.00
_cell_angle_beta 90.00
_cell_angle_gamma 90.00
loop_
_atom_site_label
_atom_site_fract_x
_atom_site_fract_y
_atom_site_fract_z
Ce1 0.000 0.000 0.000
Er1 0.000 0.000 0.311
Hg1 0.000 0.000 0.668
```

***

# 9
VASP calculation (PBE-GGA) on a relaxed NaMnV3 crystal.

Calculated values
Polymorph energy (0 for the lowest one), meV/atom: 0
Calculated formation energy, meV per atom: 915

Structure (CIF):
```
data_NaMnV3
_space_group_name_H-M_alt 'P m -3 m'
_space_group_IT_number 221
_space_group_name_Hall '-P 4 2 3'
_cell_length_a 4.414
_cell_length_b 4.414
_cell_length_c 4.414
_cell_angle_alpha 90.00
_cell_angle_beta 90.00
_cell_angle_gamma 90.00
loop_
_atom_site_label
_atom_site_fract_x
_atom_site_fract_y
_atom_site_fract_z
Na1 0.000 0.000 0.000
Mn1 0.500 0.500 0.500
V1 0.000 0.500 0.500
```

***

# 10
VASP calculation (PBE-GGA) on a relaxed NpCo2Si3 crystal.

Calculated values
Formation energy from raw total energies, eV per atom: -0.485

Structure (CIF):
```
data_NpCo2Si3
_space_group_name_H-M_alt 'C m c m'
_space_group_IT_number 63
_space_group_name_Hall '-C 2c 2'
_cell_length_a 9.596
_cell_length_b 7.154
_cell_length_c 4.952
_cell_angle_alpha 90.00
_cell_angle_beta 90.00
_cell_angle_gamma 90.00
loop_
_atom_site_label
_atom_site_fract_x
_atom_site_fract_y
_atom_site_fract_z
Np1 0.000 0.139 0.250
Co1 0.196 0.500 0.000
Si1 0.000 0.440 0.750
Si2 0.190 0.215 0.750
```

***

# 11
VASP calculation (PBE-GGA) on a relaxed ZnIrPb crystal.

Calculated values
Polymorph energy (0 for the lowest one), meV/atom: 127
Calculated formation energy, meV per atom: 256

Structure (CIF):
```
data_ZnIrPb
_space_group_name_H-M_alt 'P -6 m 2'
_space_group_IT_number 187
_space_group_name_Hall 'P -6 2'
_cell_length_a 4.4416
_cell_length_b 4.4416
_cell_length_c 3.4088
_cell_angle_alpha 90.00
_cell_angle_beta 90.00
_cell_angle_gamma 120.00
loop_
_atom_site_label
_atom_site_fract_x
_atom_site_fract_y
_atom_site_fract_z
Zn1 0.0000 0.0000 0.0000
Ir1 0.3333 0.6667 0.0000
Pb1 0.6667 0.3333 0.5000
```

***

# 12
VASP calculation (PBE-GGA) on a relaxed Ca2TlN crystal.

Calculated values
Formation energy from raw total energies, eV per atom: -0.359

Structure (CIF):
```
data_Ca2TlN
_space_group_name_H-M_alt 'P 4/m m m'
_space_group_IT_number 123
_space_group_name_Hall '-P 4 2'
_cell_length_a 3.151
_cell_length_b 3.151
_cell_length_c 8.428
_cell_angle_alpha 90.00
_cell_angle_beta 90.00
_cell_angle_gamma 90.00
loop_
_atom_site_label
_atom_site_fract_x
_atom_site_fract_y
_atom_site_fract_z
Ca1 0.000 0.000 0.155
Tl1 0.500 0.500 0.500
N1 0.500 0.500 0.000
```

***

# 13
VASP calculation (PBE-GGA) on a relaxed PaTiAs2N crystal.

Calculated values
Formation energy from raw total energies, eV per atom: -1.123

Structure (CIF):
```
data_PaTiAs2N
_space_group_name_H-M_alt 'P 4/n m m'
_space_group_IT_number 129
_cell_length_a 3.780
_cell_length_b 3.780
_cell_length_c 12.843
_cell_angle_alpha 90.00
_cell_angle_beta 90.00
_cell_angle_gamma 90.00
loop_
_space_group_symop_operation_xyz
'x,y,z'
'-x,-y,-z'
'-y+1/2,x,z'
'y+1/2,-x,-z'
'-x+1/2,-y+1/2,z'
'x+1/2,y+1/2,-z'
'y,-x+1/2,z'
'-y,x+1/2,-z'
'x+1/2,-y,-z'
'-x+1/2,y,z'
'-y,-x,-z'
'y,x,z'
'-x,y+1/2,-z'
'x,-y+1/2,z'
'y+1/2,x+1/2,-z'
'-y+1/2,-x+1/2,z'
loop_
_atom_site_label
_atom_site_fract_x
_atom_site_fract_y
_atom_site_fract_z
Pa1 0.250 0.250 0.098
Ti1 0.250 0.250 0.592
As1 0.250 0.250 0.388
As2 0.250 0.250 0.788
N1 0.250 0.750 0.000
```

***

# 14
VASP calculation (PBE-GGA) on a relaxed ScAu2O crystal.

Calculated values
Formation energy from raw total energies, eV per atom: -0.819

Structure (CIF):
```
data_ScAu2O
_space_group_name_H-M_alt 'I -4 2 d'
_space_group_IT_number 122
_space_group_name_Hall 'I -4 2bw'
_cell_length_a 8.928
_cell_length_b 8.928
_cell_length_c 3.938
_cell_angle_alpha 90.00
_cell_angle_beta 90.00
_cell_angle_gamma 90.00
loop_
_atom_site_label
_atom_site_fract_x
_atom_site_fract_y
_atom_site_fract_z
Sc1 0.000 0.000 0.000
Au1 0.149 0.250 0.625
O1 0.000 0.000 0.500
```

***

# 15
VASP calculation (PBE-GGA) on a relaxed ZnRu3W2 crystal.

Calculated values
Calculated formation energy, meV per atom: 7

Structure (CIF):
```
data_ZnRu3W2
_space_group_name_H-M_alt 'P 4/m m m'
_space_group_IT_number 123
_space_group_name_Hall '-P 4 2'
_cell_length_a 2.976
_cell_length_b 2.976
_cell_length_c 10.007
_cell_angle_alpha 90.00
_cell_angle_beta 90.00
_cell_angle_gamma 90.00
loop_
_atom_site_label
_atom_site_fract_x
_atom_site_fract_y
_atom_site_fract_z
Zn1 0.000 0.000 0.000
Ru1 0.500 0.500 0.164
Ru2 0.500 0.500 0.500
W1 0.000 0.000 0.320
```

***

# 16
VASP calculation (PBE-GGA) on a relaxed Nd5USb6 crystal.

Calculated values
Formation energy from raw total energies, eV per atom: -1.017

Structure (CIF):
```
data_Nd5USb6
_space_group_name_H-M_alt 'C 1 2/m 1'
_space_group_IT_number 12
_space_group_name_Hall '-C 2y'
_cell_length_a 7.792
_cell_length_b 13.513
_cell_length_c 7.793
_cell_angle_alpha 90.00
_cell_angle_beta 109.50
_cell_angle_gamma 90.00
loop_
_atom_site_label
_atom_site_fract_x
_atom_site_fract_y
_atom_site_fract_z
Nd1 0.000 0.000 0.000
Nd2 0.000 0.166 0.500
Nd3 0.000 0.331 0.000
U1 0.000 0.500 0.500
Sb1 0.244 0.500 0.253
Sb2 0.245 0.337 0.746
```

***

# 17
VASP calculation (PBE-GGA) on a relaxed K2CdOsO4 crystal.

Calculated values
Formation energy from raw total energies, eV per atom: -1.097

Structure (CIF):
```
data_K2CdOsO4
_space_group_name_H-M_alt 'I -4'
_space_group_IT_number 82
_space_group_name_Hall 'I -4'
_cell_length_a 6.234
_cell_length_b 6.234
_cell_length_c 7.200
_cell_angle_alpha 90.00
_cell_angle_beta 90.00
_cell_angle_gamma 90.00
loop_
_atom_site_label
_atom_site_fract_x
_atom_site_fract_y
_atom_site_fract_z
K1 0.000 0.000 0.000
K2 0.000 0.500 0.250
Cd1 0.000 0.000 0.500
Os1 0.000 0.500 0.750
O1 0.141 0.233 0.708
```

***

# 18
VASP calculation (PBE-GGA) on a relaxed Th6TcPb2 crystal.

Calculated values
Polymorph energy (0 for the lowest one), meV/atom: 0
Calculated formation energy, meV per atom: -245

Structure (CIF):
```
data_Th6TcPb2
_space_group_name_H-M_alt 'P -6 2 m'
_space_group_IT_number 189
_space_group_name_Hall 'P -6 -2'
_cell_length_a 8.8484
_cell_length_b 8.8484
_cell_length_c 3.9522
_cell_angle_alpha 90.00
_cell_angle_beta 90.00
_cell_angle_gamma 120.00
loop_
_atom_site_label
_atom_site_fract_x
_atom_site_fract_y
_atom_site_fract_z
Th1 0.0000 0.3988 0.0000
Th2 0.0000 0.7584 0.5000
Tc1 0.0000 0.0000 0.0000
Pb1 0.3333 0.6667 0.5000
```

***

# 19
VASP calculation (PBE-GGA) on a relaxed SrPrZn crystal.

Calculated values
Polymorph energy (0 for the lowest one), meV/atom: 192
Calculated formation energy, meV per atom: 58

Structure (CIF):
```
data_SrPrZn
_space_group_name_H-M_alt 'P 3 m 1'
_space_group_IT_number 156
_space_group_name_Hall 'P 3 -2"'
_cell_length_a 5.2532
_cell_length_b 5.2532
_cell_length_c 4.2688
_cell_angle_alpha 90.00
_cell_angle_beta 90.00
_cell_angle_gamma 120.00
loop_
_atom_site_label
_atom_site_fract_x
_atom_site_fract_y
_atom_site_fract_z
Sr1 0.0000 0.0000 0.0000
Pr1 0.3333 0.6667 0.5168
Zn1 0.6667 0.3333 0.4130
```

***

# 20
VASP calculation (PBE-GGA) on a relaxed Pr2Y2AlGa4 crystal.

Calculated values
Calculated formation energy, meV per atom: -234

Structure (CIF):
```
data_Pr2Y2AlGa4
_space_group_name_H-M_alt 'I 4/m m m'
_space_group_IT_number 139
_space_group_name_Hall '-I 4 2'
_cell_length_a 7.100
_cell_length_b 7.100
_cell_length_c 9.029
_cell_angle_alpha 90.00
_cell_angle_beta 90.00
_cell_angle_gamma 90.00
loop_
_atom_site_label
_atom_site_fract_x
_atom_site_fract_y
_atom_site_fract_z
Pr1 0.000 0.000 0.189
Y1 0.000 0.500 0.250
Al1 0.000 0.000 0.500
Ga1 0.245 0.245 0.500
```

***

# 21
VASP calculation (PBE-GGA) on a relaxed GaSn2Pd4 crystal.

Calculated values
Polymorph energy (0 for the lowest one), meV/atom: 410
Calculated formation energy, meV per atom: -83

Structure (CIF):
```
data_GaSn2Pd4
_space_group_name_H-M_alt 'I 4/m m m'
_space_group_IT_number 139
_space_group_name_Hall '-I 4 2'
_cell_length_a 4.622
_cell_length_b 4.622
_cell_length_c 13.637
_cell_angle_alpha 90.00
_cell_angle_beta 90.00
_cell_angle_gamma 90.00
loop_
_atom_site_label
_atom_site_fract_x
_atom_site_fract_y
_atom_site_fract_z
Ga1 0.000 0.000 0.000
Sn1 0.000 0.000 0.370
Pd1 0.000 0.000 0.179
Pd2 0.000 0.500 0.000
```

***

# 22
VASP calculation (PBE-GGA) on a relaxed Ac8Os3RhBr3 crystal.

Calculated values
Formation energy from raw total energies, eV per atom: -0.668

Structure (CIF):
```
data_Ac8Os3RhBr3
_space_group_name_H-M_alt 'C 1 2/m 1'
_space_group_IT_number 12
_space_group_name_Hall '-C 2y'
_cell_length_a 15.093
_cell_length_b 8.707
_cell_length_c 9.613
_cell_angle_alpha 90.00
_cell_angle_beta 121.66
_cell_angle_gamma 90.00
loop_
_atom_site_label
_atom_site_fract_x
_atom_site_fract_y
_atom_site_fract_z
Ac1 0.020 0.247 0.308
Ac2 0.232 0.000 0.695
Ac3 0.233 0.500 0.693
Os1 0.000 0.000 0.500
Os2 0.250 0.250 0.500
Rh1 0.000 0.500 0.500
Br1 0.000 0.500 0.000
Br2 0.250 0.250 0.000
```

***

# 23
VASP calculation (PBE-GGA) on a relaxed CaNd8Ho5 crystal.

Calculated values
Calculated formation energy, meV per atom: 238

Structure (CIF):
```
data_CaNd8Ho5
_space_group_name_H-M_alt 'I -4'
_space_group_IT_number 82
_space_group_name_Hall 'I -4'
_cell_length_a 9.773
_cell_length_b 9.773
_cell_length_c 10.381
_cell_angle_alpha 90.00
_cell_angle_beta 90.00
_cell_angle_gamma 90.00
loop_
_atom_site_label
_atom_site_fract_x
_atom_site_fract_y
_atom_site_fract_z
Ca1 0.000 0.000 0.000
Nd1 0.071 0.174 0.349
Nd2 0.093 0.328 0.002
Ho1 0.000 0.500 0.250
Ho2 0.110 0.297 0.677
```

***

# 24
VASP calculation (PBE-GGA) on a relaxed LiBe2Ru crystal.

Calculated values
Calculated formation energy, meV per atom: -59

Structure (CIF):
```
data_LiBe2Ru
_space_group_name_H-M_alt 'I -4 m 2'
_space_group_IT_number 119
_space_group_name_Hall 'I -4 -2'
_cell_length_a 3.293
_cell_length_b 3.293
_cell_length_c 7.535
_cell_angle_alpha 90.00
_cell_angle_beta 90.00
_cell_angle_gamma 90.00
loop_
_atom_site_label
_atom_site_fract_x
_atom_site_fract_y
_atom_site_fract_z
Li1 0.000 0.000 0.000
Be1 0.000 0.000 0.500
Be2 0.000 0.500 0.250
Ru1 0.000 0.500 0.750
```